The following is a PBE with a Hubbard U calculation of an optimized crystal structure of KMoCl4O, from Alexandria.

Lattice parameters (Å, degrees): 9.601 7.135 23.560 85.40 90.00 90.00
Last column: magnetic moment on the atom in μB.
Positions (direct):
K1 0.483 0.244 0.239  0.00
K2 0.983 0.756 0.261  0.00
K3 0.263 0.137 0.470  0.00
K4 0.017 0.244 0.739  0.00
K5 0.763 0.863 0.030  0.00
K6 0.737 0.863 0.530  0.00
K7 0.517 0.756 0.761  0.00
K8 0.237 0.137 0.970  0.00
Mo1 0.971 0.741 0.868  0.99
Mo2 0.390 0.774 0.128  1.01
Mo3 0.890 0.226 0.372  1.01
Mo4 0.471 0.259 0.632  0.99
Mo5 0.029 0.259 0.132  0.99
Mo6 0.110 0.774 0.628  1.01
Mo7 0.610 0.226 0.872  1.01
Mo8 0.529 0.741 0.368  0.99
Cl1 0.568 0.224 0.972  0.00
Cl2 0.344 0.857 0.603  0.00
Cl3 0.800 0.370 0.284  0.00
Cl4 0.584 0.564 0.139  0.00
Cl5 0.432 0.776 0.028  0.00
Cl6 0.916 0.564 0.639  0.00
Cl7 0.955 0.242 0.036  0.00
Cl8 0.300 0.630 0.216  0.00
Cl9 0.358 0.148 0.719  0.00
Cl10 0.545 0.242 0.536  0.00
Cl11 0.844 0.143 0.897  0.00
Cl12 0.156 0.857 0.103  0.00
Cl13 0.656 0.143 0.397  0.00
Cl14 0.700 0.370 0.784  0.00
Cl15 0.932 0.224 0.472  0.00
Cl16 0.416 0.436 0.861  0.00
Cl17 0.252 0.349 0.094  0.00
Cl18 0.154 0.964 0.843  0.00
Cl19 0.752 0.651 0.406  0.00
Cl20 0.248 0.349 0.594  0.00
Cl21 0.654 0.036 0.657  0.00
Cl22 0.200 0.630 0.716  0.00
Cl23 0.084 0.436 0.361  0.00
Cl24 0.642 0.852 0.281  0.00
Cl25 0.045 0.758 0.964  0.00
Cl26 0.142 0.148 0.219  0.00
Cl27 0.346 0.964 0.343  0.00
Cl28 0.846 0.036 0.157  0.00
Cl29 0.748 0.651 0.906  0.00
Cl30 0.858 0.852 0.781  0.00
Cl31 0.455 0.758 0.464  0.00
Cl32 0.068 0.776 0.528  0.00
O1 0.960 0.465 0.149  -0.09
O2 0.541 0.021 0.853  -0.09
O3 0.959 0.021 0.353  -0.09
O4 0.540 0.465 0.649  -0.09
O5 0.041 0.979 0.647  -0.09
O6 0.459 0.979 0.147  -0.09
O7 0.460 0.535 0.351  -0.09
O8 0.040 0.535 0.851  -0.09

Output
final energy = -239.40 eV for the cell shown
space group = P2_1/c
magnetization = 7.62 μB per cell
volume = 28.73 Å³/atom